Entry 1:
First-principles (PBE-GGA) data for an optimized crystal structure of Tb4Pr3Nd2, as listed in Alexandria.

Cell lengths 10.2317, 10.2317, 6.2096 Å; angles 96.14, 96.14, 71.17 degrees
Last column: nearest neighbours and their distance in Å.
Positions (direct):
Tb  0.0610  0.8251  0.9635  3 Tb 3.39-3.54, 1 Nd 3.50, 5 Pr 3.50-3.66
Tb  0.1519  0.3911  0.1369  5 Pr 3.46-3.78, 3 Nd 3.50-3.81, 2 Tb 3.54-3.57
Tb  0.1749  0.9390  0.5365  3 Tb 3.39-3.54, 1 Nd 3.50, 5 Pr 3.50-3.66
Tb  0.3911  0.1519  0.6369  5 Pr 3.46-3.78, 3 Nd 3.50-3.81, 2 Tb 3.54-3.57
Tb  0.6089  0.8481  0.3631  5 Pr 3.46-3.78, 3 Nd 3.50-3.81, 2 Tb 3.54-3.57
Tb  0.8251  0.0610  0.4635  3 Tb 3.39-3.54, 1 Nd 3.50, 5 Pr 3.50-3.66
Tb  0.8481  0.6089  0.8631  5 Pr 3.46-3.78, 3 Nd 3.50-3.81, 2 Tb 3.54-3.57
Tb  0.9390  0.1749  0.0365  3 Tb 3.39-3.54, 1 Nd 3.50, 5 Pr 3.50-3.66
Pr  0.0265  0.3015  0.5886  2 Nd 3.41-3.71, 8 Tb 3.46-3.66
Pr  0.3015  0.0265  0.0886  2 Nd 3.41-3.71, 8 Tb 3.46-3.66
Pr  0.3683  0.6317  0.2500  4 Tb 3.54-3.78, 6 Nd 3.58-3.63
Pr  0.6317  0.3683  0.7500  4 Tb 3.54-3.78, 6 Nd 3.58-3.63
Pr  0.6985  0.9735  0.9114  2 Nd 3.41-3.71, 8 Tb 3.46-3.66
Pr  0.9735  0.6985  0.4114  2 Nd 3.41-3.71, 8 Tb 3.46-3.66
Nd  0.2620  0.5147  0.7072  5 Pr 3.41-3.71, 4 Tb 3.50-3.81, 1 Nd 3.68
Nd  0.4853  0.7380  0.7928  5 Pr 3.41-3.71, 4 Tb 3.50-3.81, 1 Nd 3.68
Nd  0.5147  0.2620  0.2072  5 Pr 3.41-3.71, 4 Tb 3.50-3.81, 1 Nd 3.68
Nd  0.7380  0.4853  0.2928  5 Pr 3.41-3.71, 4 Tb 3.50-3.81, 1 Nd 3.68

Values from the calculation:
As for the relative energy among the computed polymorphs: 73 meV per atom. As for the symmetry: C2/c (15). The density of states at the Fermi level is 1.61 states/eV/atom.

---

Entry 2:
First-principles (PBE-GGA) data for an optimized crystal structure of Tb3PrNd3, as listed in Alexandria.

Cell lengths 8.9890, 8.9890, 8.9890 Å; angles 58.54, 58.54, 58.54 degrees
Last column: nearest neighbours and their distance in Å.
Positions (direct):
Tb  0.0625  0.2861  0.8267  4 Tb 3.29-3.50, 4 Nd 3.35-3.67, 1 Pr 3.60
Tb  0.1733  0.9375  0.7139  4 Tb 3.29-3.50, 4 Nd 3.35-3.67, 1 Pr 3.60
Tb  0.2861  0.8267  0.0625  4 Tb 3.29-3.50, 4 Nd 3.35-3.67, 1 Pr 3.60
Tb  0.7139  0.1733  0.9375  4 Tb 3.29-3.50, 4 Nd 3.35-3.67, 1 Pr 3.60
Tb  0.8267  0.0625  0.2861  4 Tb 3.29-3.50, 4 Nd 3.35-3.67, 1 Pr 3.60
Tb  0.9375  0.7139  0.1733  4 Tb 3.29-3.50, 4 Nd 3.35-3.67, 1 Pr 3.60
Pr  0.3460  0.3460  0.3460  6 Tb 3.60-3.84, 6 Nd 3.70-3.82
Pr  0.6540  0.6540  0.6540  6 Tb 3.60-3.84, 6 Nd 3.70-3.82
Nd  0.0696  0.7208  0.5668  4 Tb 3.35-3.67, 2 Nd 3.67, 1 Pr 3.70
Nd  0.2792  0.4332  0.9304  4 Tb 3.35-3.67, 2 Nd 3.67, 1 Pr 3.70
Nd  0.4332  0.9304  0.2792  4 Tb 3.35-3.67, 2 Nd 3.67, 1 Pr 3.70
Nd  0.5668  0.0696  0.7208  4 Tb 3.35-3.67, 2 Nd 3.67, 1 Pr 3.70
Nd  0.7208  0.5668  0.0696  4 Tb 3.35-3.67, 2 Nd 3.67, 1 Pr 3.70
Nd  0.9304  0.2792  0.4332  4 Tb 3.35-3.67, 2 Nd 3.67, 1 Pr 3.70

Values from the calculation:
As for the relative energy among the computed polymorphs: 0 meV per atom. As for the symmetry: R-3 (148). The density of states at the Fermi level is 1.51 states/eV/atom.

---

What is the relative energy among the computed polymorphs in the second record?
0 meV per atom

---

The lowest relative energy among the computed polymorphs belongs to which entry?
Tb3PrNd3

---

relative energy among the computed polymorphs of number 1 (Tb4Pr3Nd2)?
73 meV per atom